No. 1
The following is a DFT calculation (PBE-GGA) of a relaxed NdCd4Ag2 crystal.

Polymorph energy (0 for the lowest one) ... 0.21 eV/f.u.
Formation energy from the elements ... -15.35 kJ/mol of atoms
Magnetization ... 0.0 Bohr magnetons per cell
Space group ... No. 65
Calculated density ... 8.2 g cm⁻³
Electronic total energy ... -2.18 eV per atom

Cell: 9.0239 9.0239 4.3070 Å, 90.00 90.00 152.26°
Positions (direct):
Nd 0.0000 0.0000 0.0000
Cd 0.1815 0.8185 0.5000
Cd 0.3173 0.6827 0.0000
Cd 0.6827 0.3173 0.0000
Cd 0.8185 0.1815 0.5000
Ag 0.4238 0.5762 0.5000
Ag 0.5762 0.4238 0.5000



No. 2
The following is a DFT calculation (PBE-GGA) of a relaxed Nd3Cd2Ag2 crystal.

Formation energy from the elements ... -17.00 kJ/mol of atoms
Magnetization ... 0.0 Bohr magnetons per cell
Space group ... No. 2
Calculated density ... 7.3 g cm⁻³
Electronic total energy ... -3.30 eV per atom

Cell: 5.1418 5.1536 8.6636 Å, 90.05 90.04 119.83°
Positions (direct):
Nd 0.0000 0.0000 0.0000
Nd 0.3336 0.6688 0.6300
Nd 0.6664 0.3312 0.3700
Cd 0.3331 0.6650 0.2032
Cd 0.6669 0.3350 0.7968
Ag 0.0006 0.0041 0.6593
Ag 0.9994 0.9959 0.3407



No. 3
The following is a DFT calculation (PBE-GGA) of a relaxed NdCd4Ag8 crystal.

Formation energy from the elements ... -7.54 kJ/mol of atoms
Magnetization ... 0.0 Bohr magnetons per cell
Space group ... No. 139
Calculated density ... 9.0 g cm⁻³
Electronic total energy ... -2.48 eV per atom

Cell: 7.4339 7.4339 7.4339 Å, 98.38 98.38 135.11°
Positions (direct):
Nd 0.0000 0.0000 0.0000
Cd 0.0000 0.0000 0.5000
Cd 0.0000 0.5000 0.0000
Cd 0.5000 0.0000 0.0000
Cd 0.5000 0.5000 0.5000
Ag 0.0000 0.3509 0.3509
Ag 0.0000 0.6491 0.6491
Ag 0.2877 0.5000 0.7877
Ag 0.3509 0.0000 0.3509
Ag 0.5000 0.2877 0.7877
Ag 0.5000 0.7123 0.2123
Ag 0.6491 0.0000 0.6491
Ag 0.7123 0.5000 0.2123